No. 1
Entry from Alexandria via LeMat-Bulk: crystalline Pm4Sn4Ge at its relaxed geometry (PBE).

Structure (POSCAR):
```
Pm4Sn4Ge
1.0
6.549 0.000 0.000
0.000 9.154 0.000
0.000 0.000 9.154
Pm Sn Ge
8 8 2
Direct
0.286 0.256 0.000 Pm
0.786 0.500 0.756 Pm
0.286 0.744 0.000 Pm
0.214 0.244 0.500 Pm
0.714 0.000 0.744 Pm
0.214 0.756 0.500 Pm
0.786 0.500 0.244 Pm
0.714 0.000 0.256 Pm
0.731 0.752 0.500 Sn
0.731 0.248 0.500 Sn
0.231 0.000 0.748 Sn
0.769 0.252 0.000 Sn
0.769 0.748 0.000 Sn
0.269 0.500 0.248 Sn
0.269 0.500 0.752 Sn
0.231 0.000 0.252 Sn
0.000 0.000 0.000 Ge
0.500 0.500 0.500 Ge
```

## Properties
The space group is P4_2/nmc (137).

---

No. 2
Entry from Alexandria via LeMat-Bulk: crystalline Zr2TiNbN at its relaxed geometry (PBE).

Structure (POSCAR):
```
Zr2TiNbN
1.0
4.597 0.000 0.000
0.000 4.597 0.000
0.000 0.000 4.042
Nb N Zr Ti
1 1 2 1
Direct
0.500 0.500 0.500 Nb
0.000 0.000 0.000 N
0.000 0.500 0.000 Zr
0.500 0.000 0.000 Zr
0.000 0.000 0.500 Ti
```

## Properties
The space group is P4/mmm (123). Its distance to the lowest polymorph of the same formula is 0.0 meV/atom. As for the uncorrected formation energy: -0.6913 eV per atom.

---

No. 3
Entry from Alexandria via LeMat-Bulk: crystalline Sc2TlBr6 at its relaxed geometry (PBE).

Structure (POSCAR):
```
Sc2TlBr6
1.0
-5.557 -2.259 -4.715
3.133 -6.114 -0.763
-4.643 0.899 5.041
Sc Tl Br
2 1 6
Direct
0.500 0.667 0.333 Sc
0.500 0.333 0.667 Sc
0.000 0.000 0.000 Tl
0.707 0.637 0.637 Br
0.293 0.637 0.000 Br
0.293 0.000 0.637 Br
0.707 0.363 0.000 Br
0.293 0.363 0.363 Br
0.707 0.000 0.363 Br
```

## Properties
The space group is P-31m (162). As for the uncorrected formation energy: -1.4651 eV per atom.

---

No. 4
Entry from Alexandria via LeMat-Bulk: crystalline CsTl3Pd at its relaxed geometry (PBE).

Structure (POSCAR):
```
CsTl3Pd
1.0
5.551 0.000 0.000
0.000 5.551 0.000
0.000 0.000 5.551
Cs Tl Pd
1 3 1
Direct
0.500 0.500 0.500 Cs
0.000 0.500 0.000 Tl
0.000 0.000 0.500 Tl
0.500 0.000 0.000 Tl
0.000 0.000 0.000 Pd
```

## Properties
The space group is Pm-3m (221). Its distance to the lowest polymorph of the same formula is 71.6 meV/atom.

---

No. 5
Entry from Alexandria via LeMat-Bulk: crystalline KAg2PbCl6 at its relaxed geometry (PBE).

Structure (POSCAR):
```
KAg2PbCl6
1.0
-5.821 3.214 -2.787
-5.181 -3.961 -3.073
-6.534 -0.721 3.482
K Ag Pb Cl
1 2 1 6
Direct
0.791 0.791 0.626 K
0.515 0.515 0.455 Ag
0.007 0.007 0.980 Ag
0.312 0.312 0.065 Pb
0.656 0.257 0.223 Cl
0.257 0.864 0.223 Cl
0.864 0.655 0.224 Cl
0.334 0.740 0.740 Cl
0.740 0.186 0.740 Cl
0.186 0.334 0.740 Cl
```

## Properties
The space group is R3 (146). As for the uncorrected formation energy: -0.9484 eV per atom.

---

No. 6
Entry from Alexandria via LeMat-Bulk: crystalline CsK4Na4 at its relaxed geometry (PBE).

Structure (POSCAR):
```
CsK4Na4
1.0
13.314 0.000 0.000
0.000 9.192 0.000
0.000 0.000 9.192
Cs K Na
2 8 8
Direct
0.000 0.000 0.000 Cs
0.500 0.500 0.500 Cs
0.385 0.253 0.918 K
0.885 0.582 0.753 K
0.385 0.747 0.082 K
0.115 0.247 0.582 K
0.615 0.918 0.747 K
0.115 0.753 0.418 K
0.885 0.418 0.247 K
0.615 0.082 0.253 K
0.819 0.826 0.405 Na
0.819 0.174 0.595 Na
0.319 0.905 0.674 Na
0.681 0.326 0.905 Na
0.681 0.674 0.095 Na
0.181 0.405 0.174 Na
0.181 0.595 0.826 Na
0.319 0.095 0.326 Na
```

## Properties
The space group is P4_2/n (86).

---

No. 7
Entry from Alexandria via LeMat-Bulk: crystalline Ca2BiI at its relaxed geometry (PBE).

Structure (POSCAR):
```
Ca2BiI
1.0
-3.083 -3.480 -0.165
0.851 -3.739 -2.635
2.916 -5.941 5.265
Ca Bi I
2 1 1
Direct
0.070 0.070 0.789 Ca
0.267 0.267 0.199 Ca
0.668 0.668 0.995 Bi
0.494 0.494 0.517 I
```

## Properties
The space group is R3m (160). As for the uncorrected formation energy: -1.0721 eV per atom.

---

No. 8
Entry from Alexandria via LeMat-Bulk: crystalline KYCu2 at its relaxed geometry (PBE).

Structure (POSCAR):
```
KYCu2
1.0
-3.455 3.570 1.450
-4.401 2.028 -1.819
-4.840 -3.334 2.971
Cu K Y
2 1 1
Direct
0.028 0.028 0.058 Cu
0.667 0.667 0.872 Cu
0.487 0.487 0.510 K
0.318 0.318 0.060 Y
```

## Properties
The space group is Cm (8). Its distance to the lowest polymorph of the same formula is 216.4 meV/atom.

---

Number 1: uncorrected energy -5.002 eV/atom. Number 2: uncorrected energy -9.369 eV/atom. Number 3: uncorrected energy -4.250 eV/atom. Number 4: uncorrected energy -2.696 eV/atom. Number 5: uncorrected energy -3.107 eV/atom. Number 6: uncorrected energy -1.118 eV/atom. Number 7: uncorrected energy -3.431 eV/atom. Number 8: uncorrected energy -3.660 eV/atom.